Below is a relaxed Li2TmPd8 crystal, with properties calculated at the GGA-PBE level.

ΔE to the lowest computed polymorph   0.0000 eV per atom
Density of states at the Fermi level   8.94 states/eV/cell
E_form   -0.475 eV per atom
Volume   172.53 Å³/cell

Cell lengths 4.018, 6.332, 7.370 Å; angles 106.34, 105.82, 90.00 degrees
Atoms (fractional coordinates):
Li (0.772, 0.353, 0.544)
Li (0.228, 0.647, 0.456)
Tm (0.500, 0.000, 0.000)
Pd (0.404, 0.533, 0.808)
Pd (0.684, 0.917, 0.368)
Pd (0.857, 0.800, 0.714)
Pd (0.953, 0.276, 0.905)
Pd (0.143, 0.200, 0.286)
Pd (0.316, 0.083, 0.632)
Pd (0.596, 0.467, 0.192)
Pd (0.047, 0.724, 0.095)

---

Below is a relaxed Ti2Bi2H crystal, with properties calculated at the GGA-PBE level.

ΔE to the lowest computed polymorph   0.1835 eV per atom
Density of states at the Fermi level   3.99 states/eV/cell
Volume   135.09 Å³/cell

Cell lengths 4.502, 4.502, 7.385 Å; angles 72.25, 72.25, 90.00 degrees
Site moments in Bohr magnetons follow the coordinates.
Atoms (fractional coordinates):
H (0.000, 0.000, 0.000)  0.33
Bi (0.378, 0.378, 0.243)  0.10
Bi (0.622, 0.622, 0.757)  0.10
Ti (0.750, 0.250, 0.500)  -0.56
Ti (0.250, 0.750, 0.500)  -0.56

---

Below is a relaxed Pr3Nd5Tm3 crystal, with properties calculated at the GGA-PBE level.

Density of states at the Fermi level   17.89 states/eV/cell
E_form   0.316 eV per atom
Volume   392.24 Å³/cell

Cell lengths 3.472, 11.421, 11.421 Å; angles 120.00, 90.00, 90.00 degrees
Atoms (fractional coordinates):
Pr (0.000, 0.598, 0.000)
Pr (0.000, 0.000, 0.598)
Pr (0.000, 0.402, 0.402)
Nd (0.500, 0.667, 0.333)
Nd (0.500, 0.333, 0.667)
Nd (0.500, 0.335, 0.000)
Nd (0.500, 0.665, 0.665)
Nd (0.500, 0.000, 0.335)
Tm (0.500, 0.842, 0.000)
Tm (0.500, 0.158, 0.158)
Tm (0.500, 0.000, 0.842)

---

What mass density values result from the calculations? In sequence: 10.0; 6.3; 7.0 Mg/m³.